1.
# GGA-PBE GdZr3C2Se2, relaxed
# Total moment in μB/f.u.: 0.01
# Raw total energy in eV/atom: -8.1205
data_GdZr3C2Se2
_chemical_formula_sum 'Gd1 Zr3 C2 Se2'
_cell_length_a 3.5384
_cell_length_b 3.5384
_cell_length_c 12.9521
_cell_angle_alpha 90.00
_cell_angle_beta 90.00
_cell_angle_gamma 120.00
_space_group_name_H-M_alt 'P 3 m 1'
_space_group_IT_number 156
loop_
_space_group_symop_operation_xyz
'x,y,z'
'-y,x-y,z'
'-x+y,-x,z'
'-y,-x,z'
'-x+y,y,z'
'x,x-y,z'
loop_
_atom_site_label
_atom_site_fract_x
_atom_site_fract_y
_atom_site_fract_z
Gd1 0.0000 0.0000 0.0000
Zr1 0.0000 0.0000 0.3117
Zr2 0.3333 0.6667 0.4977
Zr3 0.3333 0.6667 0.7982
C1 0.6667 0.3333 0.4052
C2 0.6667 0.3333 0.8862
Se1 0.0000 0.0000 0.6473
Se2 0.3333 0.6667 0.1658



2.
# GGA-PBE Ni12W17, relaxed
# Total moment in μB/f.u.: 0.01
# Energy of formation in eV per atom: 0.2253
data_Ni12W17
_chemical_formula_sum 'Ni24 W34'
_cell_length_a 9.390
_cell_length_b 9.390
_cell_length_c 9.390
_cell_angle_alpha 90.00
_cell_angle_beta 90.00
_cell_angle_gamma 90.00
_space_group_name_H-M_alt 'I -4 3 m'
_space_group_IT_number 217
_space_group_name_Hall 'I -4 2 3'
loop_
_atom_site_label
_atom_site_fract_x
_atom_site_fract_y
_atom_site_fract_z
Ni1 0.049 0.363 0.637
W1 0.000 0.000 0.000
W2 0.096 0.096 0.703
W3 0.172 0.172 0.172



3.
# GGA-PBE Li2Mg2Ga2CoIr, relaxed
# Total moment in μB/f.u.: 0.01
# Raw total energy in eV/atom: -3.9372
data_Li2Mg2Ga2CoIr
_chemical_formula_sum 'Li2 Mg2 Ga2 Co1 Ir1'
_cell_length_a 4.317
_cell_length_b 4.317
_cell_length_c 6.089
_cell_angle_alpha 90.00
_cell_angle_beta 90.00
_cell_angle_gamma 90.00
_space_group_name_H-M_alt 'P -4 m 2'
_space_group_IT_number 115
loop_
_space_group_symop_operation_xyz
'x,y,z'
'y,-x,-z'
'-x,-y,z'
'-y,x,-z'
'-x,y,z'
'-y,-x,-z'
'x,-y,z'
'y,x,-z'
loop_
_atom_site_label
_atom_site_fract_x
_atom_site_fract_y
_atom_site_fract_z
Li1 0.000 0.000 0.000
Li2 0.500 0.500 0.500
Mg1 0.000 0.500 0.242
Ga1 0.000 0.500 0.758
Co1 0.500 0.500 0.000
Ir1 0.000 0.000 0.500



4.
# GGA-PBE LaCu6, relaxed
# Total moment in μB/f.u.: 0.00
# Energy of formation in eV per atom: -0.1334
data_LaCu6
_chemical_formula_sum 'La4 Cu24'
_cell_length_a 8.130
_cell_length_b 5.099
_cell_length_c 10.190
_cell_angle_alpha 90.00
_cell_angle_beta 90.00
_cell_angle_gamma 90.00
_space_group_name_H-M_alt 'P n m a'
_space_group_IT_number 62
loop_
_space_group_symop_operation_xyz
'x,y,z'
'-x,-y,-z'
'-x+1/2,-y,z+1/2'
'x+1/2,y,-z+1/2'
'x+1/2,-y+1/2,-z+1/2'
'-x+1/2,y+1/2,z+1/2'
'-x,y+1/2,-z'
'x,-y+1/2,z'
loop_
_atom_site_label
_atom_site_fract_x
_atom_site_fract_y
_atom_site_fract_z
La1 0.239 0.250 0.065
Cu1 0.061 0.750 0.099
Cu2 0.065 0.004 0.310
Cu3 0.099 0.250 0.516
Cu4 0.147 0.750 0.859
Cu5 0.183 0.250 0.754



5.
# GGA-PBE CdSn2P2, relaxed
# Raw total energy in eV/atom: -3.8199
data_CdSn2P2
_chemical_formula_sum 'Cd4 Sn8 P8'
_cell_length_a 4.288
_cell_length_b 16.183
_cell_length_c 6.910
_cell_angle_alpha 90.00
_cell_angle_beta 90.00
_cell_angle_gamma 90.00
_space_group_name_H-M_alt 'C m c 21'
_space_group_IT_number 36
loop_
_space_group_symop_operation_xyz
'x,y,z'
'-x,-y,z+1/2'
'-x,y,z'
'x,-y,z+1/2'
'x+1/2,y+1/2,z'
'-x+1/2,-y+1/2,z+1/2'
'-x+1/2,y+1/2,z'
'x+1/2,-y+1/2,z+1/2'
loop_
_atom_site_label
_atom_site_fract_x
_atom_site_fract_y
_atom_site_fract_z
Cd1 0.000 0.096 0.000
Sn1 0.000 0.304 0.809
Sn2 0.000 0.451 0.151
P1 0.000 0.067 0.385
P2 0.000 0.314 0.400



6.
# GGA-PBE LiHfAlFe, relaxed
# Total moment in μB/f.u.: 1.87
# Raw total energy in eV/atom: -5.9078
data_LiHfAlFe
_chemical_formula_sum 'Li4 Hf4 Al4 Fe4'
_cell_length_a 6.216
_cell_length_b 6.216
_cell_length_c 6.216
_cell_angle_alpha 90.00
_cell_angle_beta 90.00
_cell_angle_gamma 90.00
_space_group_name_H-M_alt 'F -4 3 m'
_space_group_IT_number 216
_space_group_name_Hall 'F -4 2 3'
loop_
_atom_site_label
_atom_site_fract_x
_atom_site_fract_y
_atom_site_fract_z
Li1 0.000 0.000 0.000
Hf1 0.250 0.250 0.250
Al1 0.000 0.000 0.500
Fe1 0.250 0.250 0.750